Material: La2VAs4Pt3
Method: DFT, PBE
State: optimized geometry

Output
Mass density = 10.082 Mg/m³
Space-group type = P-4m2
Fermi-level density of states = 0.25 states/eV/atom
Volume = 19.99 Å³ per atom
E = -64.78 eV per cell
ΔH_f (0 K) = -0.909 eV/atom

Unit cell a=4.405 b=4.405 c=10.303 alpha=90.00 beta=90.00 gamma=90.00
Fractional positions:
La1 0.000 0.500 0.245
La2 0.500 0.000 0.755
V1 0.000 0.000 0.500
As1 0.000 0.000 0.000
As2 0.000 0.500 0.633
As3 0.500 0.000 0.367
As4 0.500 0.500 0.000
Pt1 0.000 0.500 0.878
Pt2 0.500 0.000 0.122
Pt3 0.500 0.500 0.500